Rb3AcDy2Se6, optimized geometry, DFT GGA-PBE; size of the total moment = 0.00 Bohr magnetons per cell; ΔE_f (raw) = -1.75 eV per atom
1.0
3.780 -6.549 0.000
3.780 6.549 0.000
-2.529 0.000 8.026
Rb Ac Dy Se
3 1 2 6
Direct
0.000 0.000 0.000 Rb
0.336 0.664 0.000 Rb
0.664 0.336 0.000 Rb
0.500 0.500 0.500 Ac
0.167 0.833 0.500 Dy
0.833 0.167 0.500 Dy
0.081 0.433 0.301 Se
0.214 0.214 0.698 Se
0.433 0.081 0.301 Se
0.567 0.919 0.699 Se
0.786 0.786 0.302 Se
0.919 0.567 0.699 Se